# 1
Entry from the Alexandria database: Mn2Cu3Pd8 after structural relaxation (PBE).

As for the uncorrected energy: -144.0 eV for the cell shown. Its calculated formation energy is 0.011 eV per atom.

The structure belongs to space group Cmmm (No. 65); the cell edges are 6.795, 13.444 and 4.437 Å and the angles 90.00°, 90.00° and 90.00°. Symmetry generates all atoms from Mn at (0.000, 0.222, 0.000), Cu at (0.000, 0.000, 0.000), Cu at (0.187, 0.500, 0.500), Pd at (0.000, 0.113, 0.500), Pd at (0.000, 0.325, 0.500) and Pd at (0.200, 0.392, 0.000).

# 2
Entry from the Alexandria database: Hf2Ti4Pb after structural relaxation (PBE).

As for the uncorrected energy: -110.3 eV for the cell shown. Its calculated formation energy is 0.003 eV per atom.

The structure belongs to space group C2/m (No. 12); the cell edges are 9.963, 3.981 and 6.984 Å and the angles 90.00°, 97.60° and 90.00°. Symmetry generates all atoms from Hf at (0.142, 0.000, 0.425), Ti at (0.075, 0.500, 0.708), Ti at (0.227, 0.500, 0.142) and Pb at (0.000, 0.000, 0.000).

# 3
Entry from the Alexandria database: Ba2ZrHg after structural relaxation (PBE).

As for the uncorrected energy: -12.3 eV for the cell shown. Its calculated formation energy is 0.094 eV per atom.

The structure belongs to space group P4mm (No. 99); the cell edges are 3.893, 3.893 and 9.992 Å and the angles 90.00°, 90.00° and 90.00°. Symmetry generates all atoms from Ba at (0.000, 0.000, 0.000), Ba at (0.500, 0.500, 0.381), Zr at (0.500, 0.500, 0.742) and Hg at (0.000, 0.000, 0.619).

# 4
Entry from the Alexandria database: SrSbAs2N after structural relaxation (PBE).

As for the uncorrected energy: -22.3 eV for the cell shown. Its uncorrected formation energy is 0.23 eV per atom.

The structure belongs to space group P4/mmm (No. 123); the cell edges are 4.685, 4.685 and 4.758 Å and the angles 90.00°, 90.00° and 90.00°. Symmetry generates all atoms from Sr at (0.000, 0.000, 0.000), Sb at (0.500, 0.500, 0.000), As at (0.000, 0.500, 0.500) and N at (0.500, 0.500, 0.500).